The following is a GGA-PBEsol calculation of a relaxed structure of Sc2FeCu, from Alexandria.

abc: 3.129 3.129 6.946
angles: 90.00 90.00 90.00
Sites, in units of the cell vectors:
Sc: 0.000 0.000 0.000
Sc: 0.500 0.500 0.371
Fe: 0.500 0.500 0.772
Cu: 0.000 0.000 0.603

Summary:
DOS(E_F)   4.11 states/eV/f.u.
SG   P4mm (99)
Energy of formation   0.20 eV/f.u.
Crystal system   tetragonal
Offset from the most stable computed form   0.254 eV/atom